Computed, not measured: a relaxed Cr2TeF crystal at the GGA+U level of DFT.

The value obtained for the excess energy over the best structure of this formula in the dataset is 85 meV/atom. As for the total energy: -0.413 Ry per atom.

The structure belongs to space group Fm-3m (No. 225); the cell edges are 6.682, 6.682 and 6.682 Å and the angles 90.00°, 90.00° and 90.00°. The inequivalent atoms are Cr at (0.250, 0.250, 0.250), Te at (0.000, 0.000, 0.000) and F at (0.000, 0.000, 0.500).